Density functional theory data (PBE) for crystalline CsYAgCl5 at its relaxed geometry.

The formation energy from raw total energies is -1.7831 eV/atom. For the energy, the calculation gives -4.2084 eV per atom. Its total magnetic moment is 0.00 μB per formula unit. The value obtained for the density of states at the Fermi level is 0.00 states/eV/f.u.

abc: 7.8001 7.8001 10.2433
angles: 101.75 101.75 109.14
With the nearest neighbours (Å) after each atom.
Element x y z (fractional)
Ag 0.3131 0.6869 0.7500  4 Cl 2.61-2.64
Ag 0.6869 0.3131 0.2500  4 Cl 2.61-2.64
Cl 0.7619 0.6414 0.4316  1 Ag 2.64, 1 Y 2.65
Cl 0.9388 0.0612 0.7500  2 Y 2.68
Cl 0.3586 0.2381 0.0684  1 Ag 2.64, 1 Y 2.65
Cl 0.8992 0.2867 0.0862  1 Ag 2.61, 1 Y 2.65
Cl 0.2381 0.3586 0.5684  1 Ag 2.64, 1 Y 2.65
Cl 0.7133 0.1008 0.4138  1 Ag 2.61, 1 Y 2.65
Cl 0.0612 0.9388 0.2500  2 Y 2.68
Cl 0.6414 0.7619 0.9316  1 Ag 2.64, 1 Y 2.65
Cl 0.1008 0.7133 0.9138  1 Ag 2.61, 1 Y 2.65
Cl 0.2867 0.8992 0.5862  1 Ag 2.61, 1 Y 2.65
Y 0.0000 0.0000 0.5000  6 Cl 2.65-2.68
Y 0.0000 0.0000 0.0000  6 Cl 2.65-2.68
Cs 0.3394 0.6606 0.2500  7 Cl 3.49-3.74
Cs 0.6606 0.3394 0.7500  7 Cl 3.49-3.74



Density functional theory data (PBE) for crystalline CsZn2AgCl6 at its relaxed geometry.

The formation energy from raw total energies is -1.1924 eV/atom. For the energy, the calculation gives -2.9257 eV per atom. Its total magnetic moment is 0.00 μB per formula unit. The value obtained for the density of states at the Fermi level is 0.00 states/eV/f.u.

abc: 9.3184 9.3184 7.1914
angles: 102.23 102.23 85.98
With the nearest neighbours (Å) after each atom.
Element x y z (fractional)
Cl 0.5902 0.0956 0.2832  1 Zn 2.25
Cl 0.8760 0.8354 0.4684  2 Zn 2.34-2.40
Cl 0.6800 0.5367 0.6164  1 Zn 2.25
Cl 0.1646 0.1240 0.0316  2 Zn 2.34-2.40
Cl 0.8354 0.8760 0.9684  2 Zn 2.34-2.40
Cl 0.4633 0.3200 0.8836  1 Zn 2.25
Cl 0.1240 0.1646 0.5316  2 Zn 2.34-2.40
Cl 0.0956 0.5902 0.7832  1 Zn 2.25
Cl 0.5367 0.6800 0.1164  1 Zn 2.25
Cl 0.9044 0.4098 0.2168  1 Zn 2.25
Cl 0.3200 0.4633 0.3836  1 Zn 2.25
Cl 0.4098 0.9044 0.7168  1 Zn 2.25
Cs 0.1973 0.8027 0.2500  8 Cl 3.49-3.65
Cs 0.8027 0.1973 0.7500  8 Cl 3.49-3.65
Ag 0.3903 0.6097 0.7500  4 Cl 2.67-2.83
Ag 0.6097 0.3903 0.2500  4 Cl 2.67-2.83
Zn 0.6890 0.8705 0.1939  4 Cl 2.25-2.40
Zn 0.8705 0.6890 0.6939  4 Cl 2.25-2.40
Zn 0.3110 0.1295 0.8061  4 Cl 2.25-2.40
Zn 0.1295 0.3110 0.3061  4 Cl 2.25-2.40



Density functional theory data (PBE) for crystalline CsZn4Ag3Cl12 at its relaxed geometry.

The formation energy from raw total energies is -0.9613 eV/atom. For the energy, the calculation gives -2.7945 eV per atom. Its total magnetic moment is 0.00 μB per formula unit. The value obtained for the density of states at the Fermi level is 0.00 states/eV/f.u.

abc: 8.9198 8.9198 8.9198
angles: 105.90 105.90 105.90
With the nearest neighbours (Å) after each atom.
Element x y z (fractional)
Cl 0.7765 0.0614 0.6509  1 Zn 2.21
Cl 0.2235 0.3491 0.9386  1 Zn 2.21
Cl 0.3445 0.6555 0.5000  1 Zn 2.21
Cl 0.6555 0.5000 0.3445  1 Zn 2.21
Cl 0.6509 0.7765 0.0614  1 Zn 2.21
Cl 0.5000 0.0917 0.9083  1 Zn 2.21
Cl 0.9386 0.2235 0.3491  1 Zn 2.21
Cl 0.9083 0.5000 0.0917  1 Zn 2.21
Cl 0.0614 0.6509 0.7765  1 Zn 2.21
Cl 0.3491 0.9386 0.2235  1 Zn 2.21
Cl 0.0917 0.9083 0.5000  1 Zn 2.21
Cl 0.5000 0.3445 0.6555  1 Zn 2.21
Ag 0.5594 0.4406 0.0000  6 Cl 2.73-2.85
Ag 0.4406 0.0000 0.5594  6 Cl 2.73-2.85
Ag 0.0000 0.5594 0.4406  6 Cl 2.73-2.85
Zn 0.0637 0.5000 0.9363  3 Cl 2.21
Zn 0.9363 0.0637 0.5000  3 Cl 2.21
Zn 0.5000 0.9363 0.0637  3 Cl 2.21
Zn 0.5000 0.5000 0.5000  3 Cl 2.21
Cs 0.0000 0.0000 0.0000  6 Cl 3.48